VASP calculation (PBE+U) on NpMnHgO6 after structural relaxation.

* final energy: -7.282 eV/atom
* space-group type: P-31c (163)

abc: 5.3516 5.3516 9.8740
angles: 90.00 90.00 120.00
Last column: nearest neighbours and their distance in Å.
Element x y z (fractional)
O  0.3738  0.0178  0.1424  1 Mn 1.95, 1 Np 2.07
O  0.6262  0.9822  0.8576  1 Mn 1.95, 1 Np 2.07
Mn  0.6667  0.3333  0.2500  6 O 1.95
O  0.3560  0.9822  0.6424  1 Mn 1.95, 1 Np 2.07
Mn  0.3333  0.6667  0.7500  6 O 1.95
O  0.6262  0.6440  0.6424  1 Mn 1.95, 1 Np 2.07
Hg  0.0000  0.0000  0.5000  6 O 2.41
Hg  0.0000  0.0000  0.0000  6 O 2.41
Np  0.6667  0.3333  0.7500  6 O 2.07
Np  0.3333  0.6667  0.2500  6 O 2.07
O  0.6440  0.6262  0.1424  1 Mn 1.95, 1 Np 2.07
O  0.6440  0.0178  0.3576  1 Mn 1.95, 1 Np 2.07
O  0.9822  0.3560  0.1424  1 Mn 1.95, 1 Np 2.07
O  0.0178  0.6440  0.8576  1 Mn 1.95, 1 Np 2.07
O  0.3560  0.3738  0.8576  1 Mn 1.95, 1 Np 2.07
O  0.9822  0.6262  0.3576  1 Mn 1.95, 1 Np 2.07
O  0.3738  0.3560  0.3576  1 Mn 1.95, 1 Np 2.07
O  0.0178  0.3738  0.6424  1 Mn 1.95, 1 Np 2.07